[1]
# Pu2InSi4Pt3, optimized geometry, DFT PBE-GGA
# **E**: -0.2878 Ha/atom
# **Size of the total moment**: 10.46 Bohr magnetons per cell
# **Formation energy from raw total energies**: -0.710 eV per atom
data_Pu2InSi4Pt3
_cell_length_a 4.2212
_cell_length_b 4.2212
_cell_length_c 10.3312
_cell_angle_alpha 90.00
_cell_angle_beta 90.00
_cell_angle_gamma 90.00
_space_group_name_H-M_alt 'P -4 m 2'
_space_group_IT_number 115
loop_
_space_group_symop_operation_xyz
'x,y,z'
'y,-x,-z'
'-x,-y,z'
'-y,x,-z'
'-x,y,z'
'-y,-x,-z'
'x,-y,z'
'y,x,-z'
loop_
_atom_site_label
_atom_site_type_symbol
_atom_site_fract_x
_atom_site_fract_y
_atom_site_fract_z
_atom_site_occupancy
Pu1 Pu 0.0000 0.5000 0.2397 1
In1 In 0.0000 0.0000 0.5000 1
Si1 Si 0.0000 0.0000 0.0000 1
Si2 Si 0.0000 0.5000 0.6542 1
Si3 Si 0.5000 0.5000 0.0000 1
Pt1 Pt 0.0000 0.5000 0.8840 1
Pt2 Pt 0.5000 0.5000 0.5000 1



[2]
# Li2TaGaN4, optimized geometry, DFT PBE-GGA
# **E**: -0.2502 Ha/atom
# **Size of the total moment**: 0.02 Bohr magnetons per cell
# **Formation energy from raw total energies**: -0.307 eV per atom
data_Li2TaGaN4
_cell_length_a 6.0555
_cell_length_b 6.1532
_cell_length_c 8.9610
_cell_angle_alpha 90.00
_cell_angle_beta 90.00
_cell_angle_gamma 90.00
_space_group_name_H-M_alt 'I m m a'
_space_group_IT_number 74
_space_group_name_Hall '-I 2b 2'
loop_
_atom_site_label
_atom_site_type_symbol
_atom_site_fract_x
_atom_site_fract_y
_atom_site_fract_z
_atom_site_occupancy
Li1 Li 0.0000 0.0000 0.0000 1
Li2 Li 0.2500 0.2500 0.2500 1
Ta1 Ta 0.0000 0.0000 0.5000 1
Ga1 Ga 0.2500 0.2500 0.7500 1
N1 N 0.0000 0.0302 0.7359 1
N2 N 0.2313 0.2500 0.4931 1



[3]
# AcNdTeS2, optimized geometry, DFT PBE-GGA
# **E**: -0.2124 Ha/atom
# **Size of the total moment**: 0.00 Bohr magnetons per cell
# **Formation energy from raw total energies**: -1.726 eV per atom
data_AcNdTeS2
_cell_length_a 4.6716
_cell_length_b 4.6716
_cell_length_c 14.5368
_cell_angle_alpha 90.00
_cell_angle_beta 90.00
_cell_angle_gamma 90.00
_space_group_name_H-M_alt 'I 4 m m'
_space_group_IT_number 107
_space_group_name_Hall 'I 4 -2'
loop_
_atom_site_label
_atom_site_type_symbol
_atom_site_fract_x
_atom_site_fract_y
_atom_site_fract_z
_atom_site_occupancy
Ac1 Ac 0.0000 0.0000 0.0000 1
Nd1 Nd 0.0000 0.0000 0.7151 1
Te1 Te 0.0000 0.0000 0.3639 1
S1 S 0.0000 0.5000 0.1167 1



[4]
# AlSnIBr4, optimized geometry, DFT PBE-GGA
# **E**: -0.1172 Ha/atom
# **Size of the total moment**: 0.00 Bohr magnetons per cell
# **Formation energy from raw total energies**: -0.906 eV per atom
data_AlSnIBr4
_cell_length_a 15.5967
_cell_length_b 9.6571
_cell_length_c 10.6938
_cell_angle_alpha 90.00
_cell_angle_beta 120.60
_cell_angle_gamma 90.00
_space_group_name_H-M_alt 'C 1 2/m 1'
_space_group_IT_number 12
loop_
_space_group_symop_operation_xyz
'x,y,z'
'-x,-y,-z'
'-x,y,-z'
'x,-y,z'
'x+1/2,y+1/2,z'
'-x+1/2,-y+1/2,-z'
'-x+1/2,y+1/2,-z'
'x+1/2,-y+1/2,z'
loop_
_atom_site_label
_atom_site_type_symbol
_atom_site_fract_x
_atom_site_fract_y
_atom_site_fract_z
_atom_site_occupancy
Al1 Al 0.1930 0.0000 0.3380 1
Sn1 Sn 0.1309 0.5000 0.2206 1
I1 I 0.0868 0.5000 0.8997 1
Br1 Br 0.1236 0.0000 0.4829 1
Br2 Br 0.1332 0.5000 0.5139 1
Br3 Br 0.1435 0.1871 0.1754 1